[1]
Computed, not measured: a relaxed structure of Ac3GaBr3 at the GGA-PBE level of DFT.

energy relative to the elements, uncorrected: -1.323 eV per atom
polymorph energy (0 for the lowest one): 0.0 kJ/mol of atoms
density: 6.14 Mg/m³
SG: I4_132 (214)

Cell: 11.1656 11.1656 11.1656 Å, 109.47 109.47 109.47°
Fractional coordinates of all 28 atoms:
Ac 0.7413 0.4827 0.4913
Ac 0.9913 0.2413 0.4827
Ac 0.5087 0.4913 0.7500
Ac 0.9827 0.4913 0.2413
Ac 0.7413 0.2587 0.7500
Ac 0.5087 0.0173 0.2587
Br 0.7500 0.9969 0.5031
Ga 0.0000 0.0000 0.2500
Ga 0.7500 0.2500 0.2500
Ga 0.5000 0.2500 0.5000
Br 0.0061 0.5031 0.7531
Br 0.0031 0.2500 0.9969
Br 0.4969 0.5031 0.2500
Br 0.2469 0.2500 0.7531
Ga 0.7500 0.5000 0.0000
Br 0.4939 0.7469 0.9969
Ac 0.7587 0.0087 0.0173
Br 0.2531 0.5061 0.5031
Br 0.4969 0.9939 0.7469
Ac 0.9913 0.7500 0.0087
Br 0.0031 0.7531 0.5061
Ac 0.5173 0.2587 0.0087
Br 0.7500 0.7531 0.7469
Ac 0.2500 0.2413 0.2587
Br 0.2531 0.7469 0.2500
Br 0.2469 0.9969 0.9939
Ac 0.2500 0.0087 0.4913
Ac 0.7587 0.7500 0.2413

***

[2]
Computed, not measured: a relaxed structure of Ba2CaPrTe4 at the GGA-PBE level of DFT.

energy relative to the elements, uncorrected: -1.640 eV per atom
density: 5.29 Mg/m³
SG: P2/m (10)

Cell: 4.7171 8.1910 8.3100 Å, 109.17 90.00 90.00°
Fractional coordinates of all 8 atoms:
Te 0.0000 0.7425 0.2248
Ca 0.0000 0.0000 0.0000
Ba 0.5000 0.0000 0.5000
Pr 0.5000 0.5000 0.0000
Ba 0.0000 0.5000 0.5000
Te 0.0000 0.2575 0.7752
Te 0.5000 0.2402 0.2228
Te 0.5000 0.7598 0.7772